## Ac3CoTeCl (PBE)

Data for a geometry-optimized Ac3CoTeCl structure.

a b c (Å): 9.3284 4.3907 9.9287
angles (deg): 90.00 102.24 90.00
Fractional positions:
1 Ac 0.0569 0.2500 0.3453
2 Ac 0.2210 0.2500 0.9684
3 Ac 0.3541 0.7500 0.6171
4 Ac 0.6459 0.2500 0.3829
5 Ac 0.7790 0.7500 0.0316
6 Ac 0.9431 0.7500 0.6547
7 Co 0.1517 0.2500 0.6428
8 Co 0.8483 0.7500 0.3572
9 Te 0.3311 0.7500 0.2647
10 Te 0.6689 0.2500 0.7353
11 Cl 0.4120 0.7500 0.9122
12 Cl 0.5880 0.2500 0.0878

Computed properties:
size of the total moment = 0.0 μB per cell
energy relative to the elements, uncorrected = -0.910 eV/atom
calculated total energy = -59.76 eV/cell
crystal system = monoclinic
space-group type = P2_1/m, No. 11